CoSb2TePd: relaxed, GGA-PBE.

Results
Space-group type: P4/mmm (123)
Crystal system: tetragonal
Energy above the lowest structure with this stoichiometry, kJ/mol of atoms: 0.0

a b c (Å): 4.7735 5.2393 4.7735
angles (deg): 90.00 90.00 90.00
Fractional coordinates of all 5 atoms:
Te1 0.0000 0.5000 0.0000
Sb1 0.5000 0.0000 0.0000
Co1 0.0000 0.0000 0.0000
Pd1 0.5000 0.5000 0.5000
Sb2 0.0000 0.0000 0.5000